[1]
# Cu2PBrN

Cu2PBrN after structural relaxation (PBE-GGA, the Alexandria database). Values from VASP.

As for the formation energy without anion corrections: 652 meV/atom. The value obtained for the magnetization is 0.00 μB per formula unit. The calculation puts the total energy at -4.07 eV per atom.

Geometry as Quantum ESPRESSO input:
```
&SYSTEM
  ibrav = 0, nat = 5, ntyp = 4
/
ATOMIC_SPECIES
Cu 63.55 Cu.upf
P 30.97 P.upf
Br 79.90 Br.upf
N 14.01 N.upf
CELL_PARAMETERS angstrom
3.834 0.000 0.000
0.000 3.834 0.000
0.000 0.000 5.147
ATOMIC_POSITIONS angstrom
Cu 0.000 1.917 0.000
Cu 1.917 0.000 0.000
P 0.000 0.000 2.574
Br 1.917 1.917 2.574
N 0.000 0.000 0.000
```

[2]
# CuSBrN2

CuSBrN2 after structural relaxation (PBE-GGA, the Alexandria database). Values from VASP.

As for the formation energy without anion corrections: 1616 meV/atom. The value obtained for the magnetization is 4.05 μB per formula unit. The calculation puts the total energy at -3.69 eV per atom. For the energy above the most stable polymorph in this dataset, the calculation gives 0.0 meV/atom.

Geometry as Quantum ESPRESSO input:
```
&SYSTEM
  ibrav = 0, nat = 5, ntyp = 4
/
ATOMIC_SPECIES
Cu 63.55 Cu.upf
S 32.06 S.upf
Br 79.90 Br.upf
N 14.01 N.upf
CELL_PARAMETERS angstrom
3.767 0.000 0.000
0.000 3.767 0.000
0.000 0.000 6.062
ATOMIC_POSITIONS angstrom
Cu 0.000 0.000 0.000
S 0.000 0.000 3.031
Br 1.884 1.884 3.031
N 0.000 1.884 0.000
N 1.884 0.000 0.000
```

[3]
# CuSBrN2

CuSBrN2 after structural relaxation (PBE-GGA, the Alexandria database). Values from VASP.

As for the formation energy without anion corrections: 2161 meV/atom. The value obtained for the magnetization is 0.41 μB per formula unit. The calculation puts the total energy at -3.15 eV per atom. For the energy above the most stable polymorph in this dataset, the calculation gives 545.5 meV/atom.

Geometry as Quantum ESPRESSO input:
```
&SYSTEM
  ibrav = 0, nat = 5, ntyp = 4
/
ATOMIC_SPECIES
Cu 63.55 Cu.upf
S 32.06 S.upf
Br 79.90 Br.upf
N 14.01 N.upf
CELL_PARAMETERS angstrom
3.653 0.000 0.000
0.000 3.653 0.000
0.000 0.000 6.684
ATOMIC_POSITIONS angstrom
Cu 0.000 0.000 0.000
S 1.826 1.826 0.000
Br 1.826 1.826 3.342
N 0.000 1.826 3.342
N 1.826 0.000 3.342
```

[4]
# CuSeBr2N

CuSeBr2N after structural relaxation (PBE-GGA, the Alexandria database). Values from VASP.

As for the formation energy without anion corrections: 1149 meV/atom. The value obtained for the magnetization is 0.00 μB per formula unit. The calculation puts the total energy at -2.70 eV per atom. For the energy above the most stable polymorph in this dataset, the calculation gives 0.0 meV/atom.

Geometry as Quantum ESPRESSO input:
```
&SYSTEM
  ibrav = 0, nat = 5, ntyp = 4
/
ATOMIC_SPECIES
Cu 63.55 Cu.upf
Se 78.96 Se.upf
Br 79.90 Br.upf
N 14.01 N.upf
CELL_PARAMETERS angstrom
4.587 0.000 0.000
0.000 4.587 0.000
0.000 0.000 4.511
ATOMIC_POSITIONS angstrom
Cu 0.000 0.000 0.000
Se 2.294 2.294 0.000
Br 0.000 2.294 2.255
Br 2.294 0.000 2.255
N 2.294 2.294 2.255
```

[5]
# CuSeBr2N

CuSeBr2N after structural relaxation (PBE-GGA, the Alexandria database). Values from VASP.

As for the formation energy without anion corrections: 1562 meV/atom. The value obtained for the magnetization is 0.00 μB per formula unit. The calculation puts the total energy at -2.29 eV per atom. For the energy above the most stable polymorph in this dataset, the calculation gives 413.2 meV/atom.

Geometry as Quantum ESPRESSO input:
```
&SYSTEM
  ibrav = 0, nat = 5, ntyp = 4
/
ATOMIC_SPECIES
Cu 63.55 Cu.upf
Se 78.96 Se.upf
Br 79.90 Br.upf
N 14.01 N.upf
CELL_PARAMETERS angstrom
4.801 0.000 0.000
0.000 4.801 0.000
0.000 0.000 4.921
ATOMIC_POSITIONS angstrom
Cu 0.000 0.000 0.000
Se 0.000 0.000 2.461
Br 0.000 2.401 0.000
Br 2.401 0.000 0.000
N 2.401 2.401 2.461
```

[6]
# CuTeBrN2

CuTeBrN2 after structural relaxation (PBE-GGA, the Alexandria database). Values from VASP.

As for the formation energy without anion corrections: 2048 meV/atom. The value obtained for the magnetization is 0.55 μB per formula unit. The calculation puts the total energy at -3.06 eV per atom. For the energy above the most stable polymorph in this dataset, the calculation gives 505.3 meV/atom.

Geometry as Quantum ESPRESSO input:
```
&SYSTEM
  ibrav = 0, nat = 5, ntyp = 4
/
ATOMIC_SPECIES
Cu 63.55 Cu.upf
Te 127.60 Te.upf
Br 79.90 Br.upf
N 14.01 N.upf
CELL_PARAMETERS angstrom
3.817 0.000 0.000
0.000 3.817 0.000
0.000 0.000 7.902
ATOMIC_POSITIONS angstrom
Cu 0.000 0.000 0.000
Te 1.909 1.909 0.000
Br 1.909 1.909 3.951
N 0.000 1.909 3.951
N 1.909 0.000 3.951
```

[7]
# CuTeBrN2

CuTeBrN2 after structural relaxation (PBE-GGA, the Alexandria database). Values from VASP.

As for the formation energy without anion corrections: 1542 meV/atom. The value obtained for the magnetization is 4.22 μB per formula unit. The calculation puts the total energy at -3.57 eV per atom. For the energy above the most stable polymorph in this dataset, the calculation gives 0.0 meV/atom.

Geometry as Quantum ESPRESSO input:
```
&SYSTEM
  ibrav = 0, nat = 5, ntyp = 4
/
ATOMIC_SPECIES
Cu 63.55 Cu.upf
Te 127.60 Te.upf
Br 79.90 Br.upf
N 14.01 N.upf
CELL_PARAMETERS angstrom
4.039 0.000 0.000
0.000 4.039 0.000
0.000 0.000 5.829
ATOMIC_POSITIONS angstrom
Cu 0.000 0.000 0.000
Te 0.000 0.000 2.915
Br 2.020 2.020 2.915
N 0.000 2.020 0.000
N 2.020 0.000 0.000
```

[8]
# CuWBr2N

CuWBr2N after structural relaxation (PBE-GGA, the Alexandria database). Values from VASP.

As for the formation energy without anion corrections: 1600 meV/atom. The value obtained for the magnetization is 2.95 μB per formula unit. The calculation puts the total energy at -4.14 eV per atom.

Geometry as Quantum ESPRESSO input:
```
&SYSTEM
  ibrav = 0, nat = 5, ntyp = 4
/
ATOMIC_SPECIES
Cu 63.55 Cu.upf
W 183.84 W.upf
Br 79.90 Br.upf
N 14.01 N.upf
CELL_PARAMETERS angstrom
4.954 0.000 0.000
0.000 4.954 0.000
0.000 0.000 5.002
ATOMIC_POSITIONS angstrom
Cu 0.000 0.000 0.000
W 0.000 0.000 2.501
Br 0.000 2.477 2.501
Br 2.477 0.000 2.501
N 2.477 2.477 0.000
```

[9]
# NaCuBr3

NaCuBr3 after structural relaxation (PBE-GGA, the Alexandria database). Values from VASP.

As for the formation energy without anion corrections: 60 meV/atom. The value obtained for the magnetization is 0.00 μB per formula unit. The calculation puts the total energy at -2.03 eV per atom. For the energy above the most stable polymorph in this dataset, the calculation gives 807.1 meV/atom.

Geometry as Quantum ESPRESSO input:
```
&SYSTEM
  ibrav = 0, nat = 5, ntyp = 3
/
ATOMIC_SPECIES
Na 22.99 Na.upf
Cu 63.55 Cu.upf
Br 79.90 Br.upf
CELL_PARAMETERS angstrom
5.417 0.000 0.000
0.000 5.417 0.000
0.000 0.000 5.417
ATOMIC_POSITIONS angstrom
Na 0.000 0.000 0.000
Cu 2.709 2.709 2.709
Br 0.000 0.000 2.709
Br 0.000 2.709 0.000
Br 2.709 0.000 0.000
```

[10]
# NaCuBr3

NaCuBr3 after structural relaxation (PBE-GGA, the Alexandria database). Values from VASP.

As for the formation energy without anion corrections: -726 meV/atom. The value obtained for the magnetization is 0.00 μB per formula unit. The calculation puts the total energy at -2.81 eV per atom. For the energy above the most stable polymorph in this dataset, the calculation gives 21.5 meV/atom.

Geometry as Quantum ESPRESSO input:
```
&SYSTEM
  ibrav = 0, nat = 10, ntyp = 3
/
ATOMIC_SPECIES
Na 22.99 Na.upf
Cu 63.55 Cu.upf
Br 79.90 Br.upf
CELL_PARAMETERS angstrom
5.011 0.000 0.000
0.000 8.618 3.511
0.000 -8.618 3.511
ATOMIC_POSITIONS angstrom
Na 1.253 -5.868 3.511
Na 3.758 5.868 3.511
Cu 1.253 -1.430 3.291
Cu 3.758 1.430 3.291
Br 1.253 -3.364 1.870
Br 1.253 1.059 2.989
Br 1.253 -1.838 5.694
Br 3.758 -1.059 2.989
Br 3.758 3.364 1.870
Br 3.758 1.838 5.694
```

[11]
# NaCuBr3

NaCuBr3 after structural relaxation (PBE-GGA, the Alexandria database). Values from VASP.

As for the formation energy without anion corrections: -748 meV/atom. The value obtained for the magnetization is 0.00 μB per formula unit. The calculation puts the total energy at -2.83 eV per atom. For the energy above the most stable polymorph in this dataset, the calculation gives 0.0 meV/atom.

Geometry as Quantum ESPRESSO input:
```
&SYSTEM
  ibrav = 0, nat = 10, ntyp = 3
/
ATOMIC_SPECIES
Na 22.99 Na.upf
Cu 63.55 Cu.upf
Br 79.90 Br.upf
CELL_PARAMETERS angstrom
2.539 -7.645 0.000
2.539 7.645 0.000
0.000 0.000 6.963
ATOMIC_POSITIONS angstrom
Na 2.539 5.436 3.482
Na 2.539 -5.436 0.000
Cu 2.539 1.088 2.868
Cu 2.539 -1.088 6.349
Br 2.539 6.595 6.326
Br 2.539 3.141 1.575
Br 2.539 1.192 5.373
Br 2.539 -1.192 1.892
Br 2.539 -3.141 5.057
Br 2.539 -6.595 2.844
```

[12]
# Na3CuBr

Na3CuBr after structural relaxation (PBE-GGA, the Alexandria database). Values from VASP.

As for the formation energy without anion corrections: -180 meV/atom. The value obtained for the magnetization is 0.00 μB per formula unit. The calculation puts the total energy at -2.13 eV per atom. For the energy above the most stable polymorph in this dataset, the calculation gives 0.0 meV/atom.

Geometry as Quantum ESPRESSO input:
```
&SYSTEM
  ibrav = 0, nat = 5, ntyp = 3
/
ATOMIC_SPECIES
Na 22.99 Na.upf
Cu 63.55 Cu.upf
Br 79.90 Br.upf
CELL_PARAMETERS angstrom
5.543 0.000 0.000
0.000 5.543 0.000
0.000 0.000 5.543
ATOMIC_POSITIONS angstrom
Na 0.000 0.000 2.772
Na 0.000 2.772 0.000
Na 2.772 0.000 0.000
Cu 2.772 2.772 2.772
Br 0.000 0.000 0.000
```

Q: Look up the magnetization of the fifth one.
A: 0.00 μB per formula unit